La4MgTc | Alexandria | PBE-GGA | optimized geometry; calculated formation energy = 0.767 eV per atom; SG = F-43m, No. 216; ΔE to the lowest computed polymorph = 19.02 kcal/mol of atoms
1.0
0.000 4.517 4.517
4.517 0.000 4.517
4.517 4.517 0.000
La Tc Mg
4 1 1
Direct
0.880 0.373 0.373
0.373 0.880 0.373
0.373 0.373 0.373
0.373 0.373 0.880
0.000 0.000 0.000
0.750 0.750 0.750

LaMg2Tc | Alexandria | PBE-GGA | optimized geometry; calculated formation energy = 0.318 eV per atom; SG = R3m, No. 160; ΔE to the lowest computed polymorph = 4.46 kcal/mol of atoms
1.0
-1.843 9.844 -1.065
-3.764 8.659 -3.505
-4.919 8.779 -0.391
La Mg Tc
1 2 1
Direct
0.766 0.766 0.766
0.237 0.237 0.237
0.994 0.994 0.994
0.502 0.502 0.502

LaMg2Tc | Alexandria | PBE-GGA | optimized geometry; calculated formation energy = 0.346 eV per atom; SG = C2/m, No. 12; ΔE to the lowest computed polymorph = 5.11 kcal/mol of atoms
1.0
-3.294 1.032 -5.011
4.214 -4.350 0.586
-1.849 -2.506 0.071
Mg La Tc
2 1 1
Direct
0.000 0.000 0.000
0.500 0.500 0.000
0.000 0.500 0.500
0.500 0.000 0.500

- Which value of ΔE to the lowest computed polymorph does entry 3 give?
  5.11 kcal/mol of atoms